# Mn5Al

A geometry-optimized Mn5Al structure (GGA-PBE, the Alexandria database).

a b c (Å): 4.7951 4.7951 5.5849
angles (deg): 106.39 106.39 34.32
With the nearest neighbours (Å) after each atom.
Fractional positions:
Mn 0.0000 0.0000 0.0000  8 Mn 2.48-2.53
Mn 0.3231 0.3231 0.6625  6 Mn 2.38-2.53, 2 Al 2.51
Mn 0.3246 0.3246 0.1559  6 Mn 2.34-2.48, 2 Al 2.54
Mn 0.6754 0.6754 0.8441  6 Mn 2.34-2.48, 2 Al 2.54
Mn 0.6769 0.6769 0.3375  6 Mn 2.38-2.53, 2 Al 2.51
Al 0.0000 0.0000 0.5000  10 Mn 2.51-2.79

Computed properties:
E_form ... -0.06 eV per atom
Total moment ... 3.33 μB per cell
Excess energy over the best structure of this formula in the dataset ... 0.018 eV per atom
D(E_F) ... 1.025 states/eV/atom